# Li3LaAu3

A relaxed Li3LaAu3 crystal (GGA-PBE, Alexandria via LeMat-Bulk).

**Distance to the lowest polymorph of the same formula**: 0 meV/atom
**Energy of formation**: -0.58 eV per atom

```
data_Li3LaAu3
_chemical_formula_sum 'Li6 La2 Au6'
_cell_length_a 8.6080
_cell_length_b 8.6080
_cell_length_c 4.5947
_cell_angle_alpha 90.00
_cell_angle_beta 90.00
_cell_angle_gamma 120.00
_space_group_name_H-M_alt 'P 63/m'
_space_group_IT_number 176
_space_group_name_Hall '-P 6c'
loop_
_atom_site_label
_atom_site_fract_x
_atom_site_fract_y
_atom_site_fract_z
Li1 0.0129 0.2491 0.2500
La1 0.3333 0.6667 0.7500
Au1 0.0633 0.6296 0.2500
```

***

# Li2CaHf

A relaxed Li2CaHf crystal (GGA-PBE, Alexandria via LeMat-Bulk).

**Distance to the lowest polymorph of the same formula**: 228 meV/atom
**Energy of formation**: 0.71 eV per atom

```
data_Li2CaHf
_chemical_formula_sum 'Li8 Ca4 Hf4'
_cell_length_a 7.8139
_cell_length_b 7.8139
_cell_length_c 6.2526
_cell_angle_alpha 90.00
_cell_angle_beta 90.00
_cell_angle_gamma 90.00
_space_group_name_H-M_alt 'I -4 2 d'
_space_group_IT_number 122
_space_group_name_Hall 'I -4 2bw'
loop_
_atom_site_label
_atom_site_fract_x
_atom_site_fract_y
_atom_site_fract_z
Li1 0.2426 0.7500 0.1250
Ca1 0.0000 0.0000 0.5000
Hf1 0.0000 0.0000 0.0000
```

***

# KCdRu

A relaxed KCdRu crystal (GGA-PBE, Alexandria via LeMat-Bulk).

**Distance to the lowest polymorph of the same formula**: 130 meV/atom
**Energy of formation**: 0.79 eV per atom

```
data_KCdRu
_chemical_formula_sum 'K1 Cd1 Ru1'
_cell_length_a 2.9796
_cell_length_b 2.9796
_cell_length_c 8.3221
_cell_angle_alpha 90.00
_cell_angle_beta 90.00
_cell_angle_gamma 120.00
_space_group_name_H-M_alt 'P 3 m 1'
_space_group_IT_number 156
loop_
_space_group_symop_operation_xyz
'x,y,z'
'-y,x-y,z'
'-x+y,-x,z'
'-y,-x,z'
'-x+y,y,z'
'x,x-y,z'
loop_
_atom_site_label
_atom_site_fract_x
_atom_site_fract_y
_atom_site_fract_z
K1 0.0000 0.0000 0.0000
Cd1 0.3333 0.6667 0.6123
Ru1 0.6667 0.3333 0.3320
```

***

# V2SiOs

A relaxed V2SiOs crystal (GGA-PBE, Alexandria via LeMat-Bulk).

**Formation energy (no corrections)**: -0.27 eV per atom

```
data_V2SiOs
_chemical_formula_sum 'V2 Si1 Os1'
_cell_length_a 3.1599
_cell_length_b 3.1599
_cell_length_c 5.3616
_cell_angle_alpha 90.00
_cell_angle_beta 90.00
_cell_angle_gamma 90.00
_space_group_name_H-M_alt 'P 4/m m m'
_space_group_IT_number 123
_space_group_name_Hall '-P 4 2'
loop_
_atom_site_label
_atom_site_fract_x
_atom_site_fract_y
_atom_site_fract_z
V1 0.0000 0.0000 0.2292
Si1 0.5000 0.5000 0.0000
Os1 0.5000 0.5000 0.5000
```

***

# KZnSb2

A relaxed KZnSb2 crystal (GGA-PBE, Alexandria via LeMat-Bulk).

**Formation energy (no corrections)**: -0.01 eV per atom

```
data_KZnSb2
_chemical_formula_sum 'K3 Zn3 Sb6'
_cell_length_a 3.6317
_cell_length_b 3.6317
_cell_length_c 29.2938
_cell_angle_alpha 90.00
_cell_angle_beta 90.00
_cell_angle_gamma 120.00
_space_group_name_H-M_alt 'R -3 m'
_space_group_IT_number 166
_space_group_name_Hall '-R 3 2"'
loop_
_atom_site_label
_atom_site_fract_x
_atom_site_fract_y
_atom_site_fract_z
K1 0.0000 0.0000 0.0000
Zn1 0.0000 0.0000 0.5000
Sb1 0.0000 0.0000 0.2342
```

***

# LiAgGe3

A relaxed LiAgGe3 crystal (GGA-PBE, Alexandria via LeMat-Bulk).

**Distance to the lowest polymorph of the same formula**: 0 meV/atom
**Energy of formation**: 0.48 eV per atom

```
data_LiAgGe3
_chemical_formula_sum 'Li1 Ag1 Ge3'
_cell_length_a 4.6073
_cell_length_b 4.6073
_cell_length_c 4.6073
_cell_angle_alpha 90.00
_cell_angle_beta 90.00
_cell_angle_gamma 90.00
_space_group_name_H-M_alt 'P m -3 m'
_space_group_IT_number 221
_space_group_name_Hall '-P 4 2 3'
loop_
_atom_site_label
_atom_site_fract_x
_atom_site_fract_y
_atom_site_fract_z
Li1 0.0000 0.0000 0.0000
Ag1 0.5000 0.5000 0.5000
Ge1 0.0000 0.0000 0.5000
```

***

# TlAuBr2

A relaxed TlAuBr2 crystal (GGA-PBE, Alexandria via LeMat-Bulk).

**Distance to the lowest polymorph of the same formula**: 170 meV/atom
**Formation energy (no corrections)**: -0.31 eV per atom

```
data_TlAuBr2
_chemical_formula_sum 'Tl2 Au2 Br4'
_cell_length_a 4.1770
_cell_length_b 6.5819
_cell_length_c 8.8575
_cell_angle_alpha 90.00
_cell_angle_beta 90.00
_cell_angle_gamma 90.00
_space_group_name_H-M_alt 'I m m m'
_space_group_IT_number 71
_space_group_name_Hall '-I 2 2'
loop_
_atom_site_label
_atom_site_fract_x
_atom_site_fract_y
_atom_site_fract_z
Tl1 0.0000 0.0000 0.0000
Au1 0.0000 0.0000 0.5000
Br1 0.0000 0.5000 0.2015
```

***

# YTl

A relaxed YTl crystal (GGA-PBE, Alexandria via LeMat-Bulk).

**Energy of formation**: -0.36 eV per atom

```
data_YTl
_chemical_formula_sum 'Y4 Tl4'
_cell_length_a 4.6151
_cell_length_b 11.5764
_cell_length_c 4.3243
_cell_angle_alpha 90.00
_cell_angle_beta 90.00
_cell_angle_gamma 90.00
_space_group_name_H-M_alt 'C m c m'
_space_group_IT_number 63
_space_group_name_Hall '-C 2c 2'
loop_
_atom_site_label
_atom_site_fract_x
_atom_site_fract_y
_atom_site_fract_z
Y1 0.0000 0.1344 0.2500
Tl1 0.0000 0.4060 0.2500
```

***

# Cs2KTl4Bi3

A relaxed Cs2KTl4Bi3 crystal (GGA-PBE, Alexandria via LeMat-Bulk).

**Energy of formation**: -0.19 eV per atom

```
data_Cs2KTl4Bi3
_chemical_formula_sum 'Cs2 K1 Tl4 Bi3'
_cell_length_a 5.4526
_cell_length_b 5.4526
_cell_length_c 14.2252
_cell_angle_alpha 90.00
_cell_angle_beta 90.00
_cell_angle_gamma 90.00
_space_group_name_H-M_alt 'P -4 m 2'
_space_group_IT_number 115
loop_
_space_group_symop_operation_xyz
'x,y,z'
'y,-x,-z'
'-x,-y,z'
'-y,x,-z'
'-x,y,z'
'-y,-x,-z'
'x,-y,z'
'y,x,-z'
loop_
_atom_site_label
_atom_site_fract_x
_atom_site_fract_y
_atom_site_fract_z
Cs1 0.0000 0.5000 0.2262
K1 0.0000 0.0000 0.5000
Tl1 0.0000 0.0000 0.0000
Tl2 0.0000 0.5000 0.6446
Tl3 0.5000 0.5000 0.0000
Bi1 0.0000 0.5000 0.8754
Bi2 0.5000 0.5000 0.5000
```

***

# HfCoBr2

A relaxed HfCoBr2 crystal (GGA-PBE, Alexandria via LeMat-Bulk).

**Distance to the lowest polymorph of the same formula**: 0 meV/atom
**Formation energy (no corrections)**: 0.01 eV per atom

```
data_HfCoBr2
_chemical_formula_sum 'Hf3 Co3 Br6'
_cell_length_a 3.3358
_cell_length_b 3.3358
_cell_length_c 25.8821
_cell_angle_alpha 90.00
_cell_angle_beta 90.00
_cell_angle_gamma 120.00
_space_group_name_H-M_alt 'R -3 m'
_space_group_IT_number 166
_space_group_name_Hall '-R 3 2"'
loop_
_atom_site_label
_atom_site_fract_x
_atom_site_fract_y
_atom_site_fract_z
Hf1 0.0000 0.0000 0.0000
Co1 0.0000 0.0000 0.5000
Br1 0.0000 0.0000 0.4096
```

***

# KCuTc2O8

A relaxed KCuTc2O8 crystal (GGA-PBE, Alexandria via LeMat-Bulk).

**Formation energy (no corrections)**: -1.40 eV per atom

```
data_KCuTc2O8
_chemical_formula_sum 'K1 Cu1 Tc2 O8'
_cell_length_a 5.5776
_cell_length_b 5.5776
_cell_length_c 7.5290
_cell_angle_alpha 90.00
_cell_angle_beta 90.00
_cell_angle_gamma 120.00
_space_group_name_H-M_alt 'P -3'
_space_group_IT_number 147
loop_
_space_group_symop_operation_xyz
'x,y,z'
'-x,-y,-z'
'-y,x-y,z'
'y,-x+y,-z'
'-x+y,-x,z'
'x-y,x,-z'
loop_
_atom_site_label
_atom_site_fract_x
_atom_site_fract_y
_atom_site_fract_z
K1 0.0000 0.0000 0.0000
Cu1 0.0000 0.0000 0.5000
Tc1 0.3333 0.6667 0.7411
O1 0.0873 0.3339 0.6670
O2 0.3333 0.6667 0.9726
```

***

# Tl5Rh4

A relaxed Tl5Rh4 crystal (GGA-PBE, Alexandria via LeMat-Bulk).

**Energy of formation**: 0.37 eV per atom

```
data_Tl5Rh4
_chemical_formula_sum 'Tl10 Rh8'
_cell_length_a 8.9708
_cell_length_b 8.9708
_cell_length_c 4.5588
_cell_angle_alpha 90.00
_cell_angle_beta 90.00
_cell_angle_gamma 90.00
_space_group_name_H-M_alt 'I 4/m m m'
_space_group_IT_number 139
_space_group_name_Hall '-I 4 2'
loop_
_atom_site_label
_atom_site_fract_x
_atom_site_fract_y
_atom_site_fract_z
Tl1 0.0000 0.0000 0.0000
Tl2 0.1759 0.1759 0.5000
Rh1 0.0000 0.3572 0.0000
```